RbScAs3 SCAN PBEsol geometry; SG = No. 221; crystal system = cubic; total energy = -17.70 eV/atom
1.0
5.2474 0.0000 0.0000
0.0000 5.2474 0.0000
0.0000 0.0000 5.2474
Rb Sc As
1 1 3
direct
0.0000 0.0000 0.0000
0.5000 0.5000 0.5000
0.0000 0.0000 0.5000
0.0000 0.5000 0.0000
0.5000 0.0000 0.0000

PtSe2F SCAN PBEsol geometry; raw formation energy = 0.04 eV/atom; SG = No. 166; energy above the lowest structure with this stoichiometry = 0.6373 eV/atom; crystal system = trigonal
1.0
4.3926 0.0000 0.0000
-2.1963 3.8041 0.0000
0.0000 0.0000 15.6291
Pt Se F
3 6 3
direct
0.0000 0.0000 0.0000
0.3333 0.6667 0.6667
0.6667 0.3333 0.3333
0.0000 0.0000 0.1475
0.0000 0.0000 0.8525
0.3333 0.6667 0.5192
0.3333 0.6667 0.8141
0.6667 0.3333 0.1859
0.6667 0.3333 0.4808
0.0000 0.0000 0.5000
0.3333 0.6667 0.1667
0.6667 0.3333 0.8333

Mg3Tl4 SCAN PBEsol geometry; SG = No. 191; energy above the lowest structure with this stoichiometry = 0.0484 eV/atom; crystal system = hexagonal
1.0
5.9990 0.0000 0.0000
-2.9995 5.1953 0.0000
0.0000 0.0000 5.8005
Mg Tl
3 4
direct
0.0000 0.5000 0.0000
0.5000 0.0000 0.0000
0.5000 0.5000 0.0000
0.0000 0.0000 0.2536
0.0000 0.0000 0.7464
0.3333 0.6667 0.5000
0.6667 0.3333 0.5000

BaTaTe2 SCAN PBEsol geometry; raw formation energy = -0.38 eV/atom; SG = No. 123; energy above the lowest structure with this stoichiometry = 0.2063 eV/atom; crystal system = tetragonal
1.0
3.5509 0.0000 0.0000
0.0000 3.5509 0.0000
0.0000 0.0000 8.1165
Ba Ta Te
1 1 2
direct
0.0000 0.0000 0.0000
0.0000 0.0000 0.5000
0.5000 0.5000 0.3025
0.5000 0.5000 0.6975

TcSbTe2Mo SCAN PBEsol geometry; raw formation energy = 1.09 eV/atom; SG = No. 123; crystal system = tetragonal
1.0
5.1590 0.0000 0.0000
0.0000 5.1590 0.0000
0.0000 0.0000 4.9766
Tc Sb Te Mo
1 1 2 1
direct
0.0000 0.0000 0.0000
0.0000 0.0000 0.5000
0.0000 0.5000 0.0000
0.5000 0.0000 0.0000
0.5000 0.5000 0.5000

Ta2Br SCAN PBEsol geometry; raw formation energy = 0.44 eV/atom; SG = No. 63; energy above the lowest structure with this stoichiometry = 0.0000 eV/atom; crystal system = orthorhombic
1.0
3.5389 0.0000 0.0000
0.0000 21.9891 0.0000
0.0000 0.0000 3.5251
Ta Br
8 4
direct
0.0000 0.1437 0.2500
0.0000 0.2396 0.7500
0.0000 0.7604 0.2500
0.0000 0.8563 0.7500
0.5000 0.2604 0.2500
0.5000 0.3563 0.7500
0.5000 0.6437 0.2500
0.5000 0.7396 0.7500
0.0000 0.4209 0.2500
0.0000 0.5791 0.7500
0.5000 0.0791 0.7500
0.5000 0.9209 0.2500

LiPb2Se SCAN PBEsol geometry; raw formation energy = -0.41 eV/atom; SG = No. 99; crystal system = tetragonal
1.0
3.7014 0.0000 0.0000
0.0000 3.7014 0.0000
0.0000 0.0000 7.0850
Li Pb Se
1 2 1
direct
0.0000 0.0000 0.0000
0.0000 0.0000 0.5893
0.5000 0.5000 0.2948
0.5000 0.5000 0.8913

CaCuIrC2 SCAN PBEsol geometry; SG = No. 123; crystal system = tetragonal; total energy = -22.43 eV/atom
1.0
3.9499 0.0000 0.0000
0.0000 3.9499 0.0000
0.0000 0.0000 4.7147
Ca Cu Ir C
1 1 1 2
direct
0.0000 0.0000 0.0000
0.5000 0.5000 0.0000
0.5000 0.5000 0.5000
0.0000 0.5000 0.5000
0.5000 0.0000 0.5000

NaTiIn3 SCAN PBEsol geometry; SG = No. 221; crystal system = cubic; total energy = -23.92 eV/atom
1.0
5.3131 0.0000 0.0000
0.0000 5.3131 0.0000
0.0000 0.0000 5.3131
Na Ti In
1 1 3
direct
0.0000 0.0000 0.0000
0.5000 0.5000 0.5000
0.0000 0.5000 0.5000
0.5000 0.0000 0.5000
0.5000 0.5000 0.0000

Be2NbRh2 SCAN PBEsol geometry; SG = No. 127; crystal system = tetragonal; total energy = -22.48 eV/atom
1.0
6.6059 0.0000 0.0000
0.0000 6.6059 0.0000
0.0000 0.0000 2.7535
Be Nb Rh
4 2 4
direct
0.1177 0.3823 0.0000
0.3823 0.8823 0.0000
0.6177 0.1177 0.0000
0.8823 0.6177 0.0000
0.0000 0.0000 0.0000
0.5000 0.5000 0.0000
0.1733 0.6733 0.5000
0.3267 0.1733 0.5000
0.6733 0.8267 0.5000
0.8267 0.3267 0.5000

KCo2O4 SCAN PBEsol geometry; raw formation energy = -1.56 eV/atom; SG = No. 59; crystal system = orthorhombic
1.0
5.6193 0.0000 0.0000
0.0000 12.3159 0.0000
0.0000 0.0000 4.8715
K Co O
4 8 16
direct
0.2500 0.2500 0.0416
0.2500 0.7500 0.3657
0.7500 0.2500 0.6343
0.7500 0.7500 0.9584
0.0000 0.0000 0.5000
0.0000 0.5000 0.5000
0.2500 0.5015 0.9999
0.2500 0.9985 0.9999
0.5000 0.0000 0.5000
0.5000 0.5000 0.5000
0.7500 0.0015 0.0001
0.7500 0.4985 0.0001
0.0013 0.0777 0.8337
0.0013 0.4223 0.8337
0.2500 0.0751 0.3335
0.2500 0.4249 0.3335
0.2500 0.5768 0.6680
0.2500 0.9232 0.6680
0.4987 0.0777 0.8337
0.4987 0.4223 0.8337
0.5013 0.5777 0.1663
0.5013 0.9223 0.1663
0.7500 0.0768 0.3320
0.7500 0.4232 0.3320
0.7500 0.5751 0.6665
0.7500 0.9249 0.6665
0.9987 0.5777 0.1663
0.9987 0.9223 0.1663

Mg2AsCl SCAN PBEsol geometry; raw formation energy = -0.62 eV/atom; SG = No. 123; energy above the lowest structure with this stoichiometry = 0.0000 eV/atom; crystal system = tetragonal
1.0
3.3697 0.0000 0.0000
0.0000 3.3697 0.0000
0.0000 0.0000 7.0464
Mg As Cl
2 1 1
direct
0.0000 0.0000 0.2170
0.0000 0.0000 0.7830
0.5000 0.5000 0.0000
0.5000 0.5000 0.5000